CaMoPb: relaxed, GGA-PBE.

Output
Relative energy among the computed polymorphs in meV per atom: 32
SG: Fmm2
Formation energy in kJ/mol of formula units: 147.8
Volume in Å³ per atom: 23.678

Unit cell a=7.600 b=7.453 c=3.184 alpha=80.40 beta=75.21 gamma=24.39
Atoms (fractional coordinates):
Ca (0.991, 0.991, 0.009)
Mo (0.327, 0.327, 0.673)
Pb (0.682, 0.682, 0.318)

Rb5H5O2F6: relaxed, GGA-PBE.

Output
Calculated total energy in eV per atom: -4.4308
SG: Pccn
Volume in Å³ per atom: 16.593

Unit cell a=7.114 b=12.287 c=13.668 alpha=90.00 beta=90.00 gamma=90.00
Atoms (fractional coordinates):
O (0.273, 0.060, 0.047)
O (0.227, 0.560, 0.953)
O (0.773, 0.060, 0.453)
O (0.727, 0.560, 0.547)
O (0.227, 0.940, 0.547)
O (0.727, 0.940, 0.953)
O (0.773, 0.440, 0.047)
O (0.273, 0.440, 0.453)
H (0.173, 0.061, 0.100)
H (0.827, 0.561, 0.600)
H (0.882, 0.106, 0.430)
H (0.673, 0.061, 0.400)
H (0.618, 0.606, 0.570)
H (0.382, 0.394, 0.430)
H (0.327, 0.561, 0.900)
H (0.618, 0.894, 0.930)
H (0.673, 0.439, 0.100)
H (0.882, 0.394, 0.070)
H (0.118, 0.894, 0.570)
H (0.874, 0.750, 0.250)
H (0.374, 0.750, 0.250)
H (0.626, 0.250, 0.750)
H (0.126, 0.250, 0.750)
H (0.118, 0.606, 0.930)
H (0.173, 0.439, 0.400)
H (0.327, 0.939, 0.600)
H (0.827, 0.939, 0.900)
H (0.382, 0.106, 0.070)
F (0.943, 0.825, 0.601)
F (0.874, 0.736, 0.167)
F (0.497, 0.050, 0.332)
F (0.557, 0.175, 0.101)
F (0.003, 0.950, 0.832)
F (0.997, 0.450, 0.332)
F (0.374, 0.736, 0.333)
F (0.874, 0.764, 0.333)
F (0.557, 0.325, 0.399)
F (0.997, 0.050, 0.168)
F (0.503, 0.550, 0.832)
F (0.443, 0.675, 0.601)
F (0.626, 0.236, 0.833)
F (0.497, 0.450, 0.168)
F (0.943, 0.675, 0.899)
F (0.374, 0.764, 0.167)
F (0.443, 0.825, 0.899)
F (0.126, 0.264, 0.833)
F (0.503, 0.950, 0.668)
F (0.626, 0.264, 0.667)
F (0.057, 0.325, 0.101)
F (0.057, 0.175, 0.399)
F (0.003, 0.550, 0.668)
F (0.126, 0.236, 0.667)
Rb (0.114, 0.840, 0.017)
Rb (0.614, 0.660, 0.017)
Rb (0.194, 0.750, 0.750)
Rb (0.886, 0.340, 0.517)
Rb (0.886, 0.160, 0.983)
Rb (0.638, 0.546, 0.337)
Rb (0.362, 0.046, 0.837)
Rb (0.862, 0.454, 0.837)
Rb (0.138, 0.546, 0.163)
Rb (0.306, 0.250, 0.250)
Rb (0.638, 0.954, 0.163)
Rb (0.694, 0.750, 0.750)
Rb (0.386, 0.160, 0.517)
Rb (0.862, 0.046, 0.663)
Rb (0.806, 0.250, 0.250)
Rb (0.614, 0.840, 0.483)
Rb (0.362, 0.454, 0.663)
Rb (0.386, 0.340, 0.983)
Rb (0.138, 0.954, 0.337)
Rb (0.114, 0.660, 0.483)

Sc2TiAlIn: relaxed, GGA-PBE.

Output
SG: P4/mmm
Formation energy in kJ/mol of formula units: 360.3
Volume in Å³ per atom: 31.262

Unit cell a=5.454 b=5.454 c=5.255 alpha=90.00 beta=90.00 gamma=90.00
Atoms (fractional coordinates):
In (0.000, 0.000, 0.000)
Al (0.500, 0.500, 0.500)
Sc (0.000, 0.500, 0.000)
Sc (0.500, 0.000, 0.000)
Ti (0.000, 0.000, 0.500)

NdSmTlH: relaxed, GGA-PBE.

Output
Calculated total energy in eV per atom: -4.2422
SG: Imm2
Volume in Å³ per atom: 24.199

Unit cell a=3.891 b=3.918 c=6.925 alpha=106.44 beta=106.31 gamma=90.00
Atoms (fractional coordinates):
Tl (0.324, 0.783, 0.649)
Nd (0.669, 0.127, 0.337)
H (0.569, 0.527, 0.138)
Sm (0.973, 0.431, 0.946)

RbZnSb2I: relaxed, GGA-PBE.

Output
Relative energy among the computed polymorphs in meV per atom: 893
SG: P4/mmm
Volume in Å³ per atom: 87.188

Unit cell a=8.024 b=8.024 c=6.770 alpha=90.00 beta=90.00 gamma=90.00
Atoms (fractional coordinates):
Rb (0.000, 0.000, 0.000)
Sb (0.500, 0.000, 0.000)
Sb (0.000, 0.500, 0.000)
I (0.000, 0.000, 0.500)
Zn (0.500, 0.500, 0.500)

Pm4IrRu: relaxed, GGA-PBE.

Output
Relative energy among the computed polymorphs in meV per atom: 0
SG: C2/c
Formation energy in kJ/mol of formula units: -239.3
Volume in Å³ per atom: 26.912

Unit cell a=6.450 b=7.602 c=8.085 alpha=113.78 beta=108.67 gamma=99.65
Atoms (fractional coordinates):
Pm (0.645, 0.044, 0.354)
Pm (0.355, 0.956, 0.646)
Pm (0.209, 0.309, 0.354)
Pm (0.636, 0.369, 0.130)
Pm (0.364, 0.631, 0.870)
Pm (0.791, 0.691, 0.646)
Pm (0.006, 0.239, 0.870)
Pm (0.994, 0.761, 0.130)
Ru (0.253, 0.003, 0.005)
Ru (0.747, 0.997, 0.995)
Ir (0.386, 0.636, 0.271)
Ir (0.614, 0.364, 0.729)

Nd2Sm2Y4Sc: relaxed, GGA-PBE.

Output
SG: C2/m
Formation energy in kJ/mol of formula units: 15.9
Volume in Å³ per atom: 32.445

Unit cell a=3.611 b=9.522 c=9.586 alpha=115.04 beta=90.00 gamma=100.93
Atoms (fractional coordinates):
Y (0.816, 0.631, 0.667)
Y (0.481, 0.962, 0.672)
Y (0.184, 0.369, 0.333)
Y (0.519, 0.038, 0.328)
Nd (0.337, 0.675, 0.001)
Nd (0.663, 0.325, 0.999)
Sm (0.147, 0.295, 0.664)
Sm (0.853, 0.705, 0.336)
Sc (0.000, 0.000, 0.000)

TiOs3F: relaxed, GGA-PBE.

Output
Relative energy among the computed polymorphs in meV per atom: 0
SG: Pm-3m
Volume in Å³ per atom: 14.747

Unit cell a=4.193 b=4.193 c=4.193 alpha=90.00 beta=90.00 gamma=90.00
Atoms (fractional coordinates):
Os (0.500, 0.000, 0.000)
Os (0.000, 0.000, 0.500)
Os (0.000, 0.500, 0.000)
Ti (0.500, 0.500, 0.500)
F (0.000, 0.000, 0.000)